[1]
The following is a PBE calculation of a geometry-optimized Ba3Sb2AsPd6 structure, from the Alexandria database.

Cell: 6.640 6.640 8.433 Å, 90.00 90.00 120.00°
Fractional positions:
Ba 0.000 0.000 0.000
Ba 0.333 0.667 0.715
Ba 0.667 0.333 0.285
Sb 0.333 0.667 0.127
Sb 0.667 0.333 0.873
As 0.000 0.000 0.500
Pd 0.189 0.378 0.373
Pd 0.189 0.811 0.373
Pd 0.378 0.189 0.627
Pd 0.622 0.811 0.373
Pd 0.811 0.189 0.627
Pd 0.811 0.622 0.627

Calculated values
* energy: -4.851 eV per atom
* space-group type: P-3m1, No. 164
* volume: 26.8 A^3/atom
* density: 7.06 Mg/m³
* formation energy from raw total energies: -0.699 eV/atom

[2]
The following is a PBE calculation of a geometry-optimized Ba2Sb3AsPd4 structure, from the Alexandria database.

Cell: 4.758 4.758 10.695 Å, 90.00 90.00 90.00°
Fractional positions:
Ba 0.000 0.500 0.248
Ba 0.500 0.000 0.752
Sb 0.000 0.000 0.000
Sb 0.000 0.500 0.627
Sb 0.500 0.000 0.373
As 0.500 0.500 0.000
Pd 0.000 0.000 0.500
Pd 0.000 0.500 0.884
Pd 0.500 0.000 0.116
Pd 0.500 0.500 0.500

Calculated values
* energy: -4.951 eV per atom
* space-group type: P-4m2, No. 115
* volume: 24.2 A^3/atom
* density: 7.82 Mg/m³
* formation energy from raw total energies: -0.787 eV/atom